LaMg2Ni | GGA-PBE | optimized geometry

Energy of formation   0.117 eV per atom

Lattice parameters (Å, degrees): 4.064 4.064 23.137 90.00 90.00 90.00
Space group I-42d (No. 122)
Inequivalent atoms, fractional coordinates:
La (0.000, 0.000, 0.000)
Mg (0.232, 0.250, 0.625)
Ni (0.000, 0.000, 0.500)